Record 1
# OsAuF2, relaxed, DFT GGA-PBE
# Energy relative to the elements, uncorrected ... -0.15 eV/atom
# Electronic total energy ... -4.71 eV per atom
# Total moment ... 2.1 μB/f.u.
# SG ... R-3m, No. 166
# Excess energy over the best structure of this formula in the dataset ... 0.0 meV per atom
data_OsAuF2
_chemical_formula_sum 'Os1 Au1 F2'
_cell_length_a 10.1323
_cell_length_b 10.1323
_cell_length_c 10.1323
_cell_angle_alpha 15.58
_cell_angle_beta 15.58
_cell_angle_gamma 15.58
_space_group_name_H-M_alt 'P 1'
_space_group_IT_number 1
loop_
_space_group_symop_operation_xyz
'x,y,z'
loop_
_atom_site_label
_atom_site_type_symbol
_atom_site_fract_x
_atom_site_fract_y
_atom_site_fract_z
Os1 Os 0.5000 0.5000 0.5000
Au1 Au 0.0000 0.0000 0.0000
F1 F 0.8900 0.8900 0.8900
F2 F 0.1100 0.1100 0.1100

***

Record 2
# Os2AuF, relaxed, DFT GGA-PBE
# Energy relative to the elements, uncorrected ... 0.85 eV/atom
# Electronic total energy ... -6.05 eV per atom
# Total moment ... 0.0 μB/f.u.
# SG ... I-42d, No. 122
# Excess energy over the best structure of this formula in the dataset ... 0.0 meV per atom
data_Os2AuF
_chemical_formula_sum 'Os4 Au2 F2'
_cell_length_a 3.8853
_cell_length_b 3.8853
_cell_length_c 9.1394
_cell_angle_alpha 77.73
_cell_angle_beta 77.73
_cell_angle_gamma 90.00
_space_group_name_H-M_alt 'P 1'
_space_group_IT_number 1
loop_
_space_group_symop_operation_xyz
'x,y,z'
loop_
_atom_site_label
_atom_site_type_symbol
_atom_site_fract_x
_atom_site_fract_y
_atom_site_fract_z
Os1 Os 0.5487 0.1250 0.2500
Os2 Os 0.2013 0.6250 0.2500
Os3 Os 0.3750 0.4513 0.7500
Os4 Os 0.8750 0.7987 0.7500
Au1 Au 0.0000 0.0000 0.0000
Au2 Au 0.7500 0.2500 0.5000
F1 F 0.5000 0.5000 0.0000
F2 F 0.2500 0.7500 0.5000

***

Record 3
# OsAuF2, relaxed, DFT GGA-PBE
# Energy relative to the elements, uncorrected ... 0.15 eV/atom
# Electronic total energy ... -4.42 eV per atom
# Total moment ... 1.9 μB/f.u.
# SG ... I-42d, No. 122
# Excess energy over the best structure of this formula in the dataset ... 292.1 meV per atom
data_OsAuF2
_chemical_formula_sum 'Os2 Au2 F4'
_cell_length_a 7.2216
_cell_length_b 7.2216
_cell_length_c 5.7394
_cell_angle_alpha 51.01
_cell_angle_beta 51.01
_cell_angle_gamma 90.00
_space_group_name_H-M_alt 'P 1'
_space_group_IT_number 1
loop_
_space_group_symop_operation_xyz
'x,y,z'
loop_
_atom_site_label
_atom_site_type_symbol
_atom_site_fract_x
_atom_site_fract_y
_atom_site_fract_z
Os1 Os 0.5000 0.5000 0.0000
Os2 Os 0.2500 0.7500 0.5000
Au1 Au 0.0000 0.0000 0.0000
Au2 Au 0.7500 0.2500 0.5000
F1 F 0.4978 0.1250 0.2500
F2 F 0.2522 0.6250 0.2500
F3 F 0.3750 0.5022 0.7500
F4 F 0.8750 0.7478 0.7500

***

Record 4
# Os3AuF, relaxed, DFT GGA-PBE
# Energy relative to the elements, uncorrected ... 2.93 eV/atom
# Electronic total energy ... -4.84 eV per atom
# Total moment ... 8.7 μB/f.u.
# SG ... Pm-3m, No. 221
# Excess energy over the best structure of this formula in the dataset ... 1200.6 meV per atom
data_Os3AuF
_chemical_formula_sum 'Os3 Au1 F1'
_cell_length_a 4.9735
_cell_length_b 4.9735
_cell_length_c 4.9735
_cell_angle_alpha 90.00
_cell_angle_beta 90.00
_cell_angle_gamma 90.00
_space_group_name_H-M_alt 'P 1'
_space_group_IT_number 1
loop_
_space_group_symop_operation_xyz
'x,y,z'
loop_
_atom_site_label
_atom_site_type_symbol
_atom_site_fract_x
_atom_site_fract_y
_atom_site_fract_z
Os1 Os 0.0000 0.5000 0.0000
Os2 Os 0.0000 0.0000 0.5000
Os3 Os 0.5000 0.0000 0.0000
Au1 Au 0.0000 0.0000 0.0000
F1 F 0.5000 0.5000 0.5000